1.
A plane-wave DFT calculation with GGA-PBE was carried out for an optimized crystal structure of TbY2Cd3CuAu2.

Lattice parameters (Å, degrees): 3.8861 7.6940 7.6940 119.96 90.00 90.00
Sites, in units of the cell vectors:
Tb1 0.0000 0.0000 0.0000
Y1 0.0000 0.4061 0.8123
Y2 0.0000 0.8123 0.4061
Cd1 0.5000 0.1605 0.4067
Cd2 0.5000 0.4067 0.1605
Cd3 0.5000 0.6512 0.6512
Cu1 0.0000 0.4057 0.4057
Au1 0.5000 0.0725 0.7398
Au2 0.5000 0.7398 0.0725

## Properties
- E (eV/atom) = -3.971
- crystal system = orthorhombic
- energy of formation (eV per atom) = -0.58


2.
A plane-wave DFT calculation with GGA-PBE was carried out for an optimized crystal structure of YCdCuAu.

Lattice parameters (Å, degrees): 4.8315 4.8315 4.8315 60.00 60.00 60.00
Sites, in units of the cell vectors:
Y1 0.0000 0.0000 0.0000
Cd1 0.2500 0.2500 0.2500
Cu1 0.5000 0.5000 0.5000
Au1 0.7500 0.7500 0.7500

## Properties
- E (eV/atom) = -3.899
- crystal system = cubic
- energy of formation (eV per atom) = -0.31


3.
A plane-wave DFT calculation with GGA-PBE was carried out for an optimized crystal structure of YCdCuAu.

Lattice parameters (Å, degrees): 4.8273 4.8273 4.8273 60.00 60.00 60.00
Sites, in units of the cell vectors:
Y1 0.0000 0.0000 0.0000
Cd1 0.5000 0.5000 0.5000
Cu1 0.2500 0.2500 0.2500
Au1 0.7500 0.7500 0.7500

## Properties
- E (eV/atom) = -4.025
- crystal system = cubic
- energy of formation (eV per atom) = -0.44


4.
A plane-wave DFT calculation with GGA-PBE was carried out for an optimized crystal structure of YCdCuAu.

Lattice parameters (Å, degrees): 4.7925 4.7925 4.7925 60.00 60.00 60.00
Sites, in units of the cell vectors:
Y1 0.0000 0.0000 0.0000
Cd1 0.7500 0.7500 0.7500
Cu1 0.2500 0.2500 0.2500
Au1 0.5000 0.5000 0.5000

## Properties
- E (eV/atom) = -3.890
- crystal system = cubic
- energy of formation (eV per atom) = -0.30